K2Li2Fe | PBE-GGA | relaxed

Summary:
- Excess energy over the best structure of this formula in the dataset: 68 meV/atom
- E_form: 67.06 kJ per mole of atoms
- Crystal system: tetragonal
- Raw total energy: -11.010 eV/cell
- Calculated volume: 172.9 Å³ per cell
- Space group: No. 139

The structure in POSCAR format:
```
K2Li2Fe
1.0
3.943 0.000 0.000
0.000 3.943 0.000
1.971 1.971 11.124
K Fe Li
2 1 2
direct
0.400 0.400 0.200 K
0.600 0.600 0.800 K
0.000 0.000 0.000 Fe
0.750 0.250 0.500 Li
0.250 0.750 0.500 Li
```